First-principles (GGA+U) data for a relaxed LuInCoO3 crystal, as listed in OQMD.

a b c (Å): 3.123 6.251 8.805
angles (deg): 90.00 79.79 90.00
Last column: magnetic moment on the atom in μB.
Sites, in units of the cell vectors:
O1 0.500 0.750 0.001  0.03
O2 0.125 0.971 0.750  0.10
O3 0.875 0.029 0.250  0.10
O4 0.500 0.250 0.999  0.03
O5 0.875 0.471 0.250  0.10
O6 0.125 0.529 0.750  0.10
In1 0.797 0.750 0.405  0.04
In2 0.203 0.250 0.595  0.04
Co1 0.362 0.250 0.276  2.63
Co2 0.638 0.750 0.724  2.63
Lu1 0.000 0.000 0.000  0.00
Lu2 0.000 0.500 0.000  0.00

Properties
The calculation puts the total DFT energy (no corrections) at -77.40 eV per cell. Its crystal system is orthorhombic. As for the space group: Cmcm.